[1]
Entry from the Alexandria database: NaMn2Ge2 after structural relaxation (PBE).

Cell and atoms, written as CIF:
```
data_NaMn2Ge2
_chemical_formula_sum 'Na2 Mn4 Ge4'
_cell_length_a 7.557
_cell_length_b 7.557
_cell_length_c 2.704
_cell_angle_alpha 90.00
_cell_angle_beta 90.00
_cell_angle_gamma 90.00
_space_group_name_H-M_alt 'P 4/m b m'
_space_group_IT_number 127
_space_group_name_Hall '-P 4 2ab'
loop_
_atom_site_label
_atom_site_fract_x
_atom_site_fract_y
_atom_site_fract_z
_atom_site_occupancy
Na1 0.000 0.000 0.000 1
Mn1 0.122 0.378 0.000 1
Ge1 0.169 0.669 0.500 1
```

***

[2]
Entry from the Alexandria database: NaMnGe3 after structural relaxation (PBE).

Cell and atoms, written as CIF:
```
data_NaMnGe3
_chemical_formula_sum 'Na1 Mn1 Ge3'
_cell_length_a 4.922
_cell_length_b 4.922
_cell_length_c 4.922
_cell_angle_alpha 90.00
_cell_angle_beta 90.00
_cell_angle_gamma 90.00
_space_group_name_H-M_alt 'P m -3 m'
_space_group_IT_number 221
_space_group_name_Hall '-P 4 2 3'
loop_
_atom_site_label
_atom_site_fract_x
_atom_site_fract_y
_atom_site_fract_z
_atom_site_occupancy
Na1 0.000 0.000 0.000 1
Mn1 0.500 0.500 0.500 1
Ge1 0.000 0.000 0.500 1
```

Results
- distance to the lowest polymorph of the same formula (eV/atom) = 1.111

***

no.,formation enthalpy at 0 K (meV/atom),electronic total energy (eV per cell)
1,4,-57.749
2,1204,-18.320